[1]
## AcScSe2O (PBE-GGA)

Data for crystalline AcScSe2O at its relaxed geometry.

Unit cell a=4.0945 b=4.0945 c=14.2137 alpha=90.00 beta=90.00 gamma=90.00
Fractional coordinates of all 10 atoms:
Ac: 0.2500 0.2500 0.0947
Ac: 0.7500 0.7500 0.9053
Sc: 0.2500 0.2500 0.6090
Sc: 0.7500 0.7500 0.3910
Se: 0.2500 0.2500 0.4113
Se: 0.2500 0.2500 0.7829
Se: 0.7500 0.7500 0.2171
Se: 0.7500 0.7500 0.5887
O: 0.2500 0.7500 0.0000
O: 0.7500 0.2500 0.0000

Calculated values
- magnetic moment (μB/atom) = 0.000
- SG = P4/nmm
- E (eV/atom) = -6.793
- energy relative to the elements, uncorrected (eV/atom) = -2.32

=====

[2]
## Tb4Pr7Sm (PBE-GGA)

Data for crystalline Tb4Pr7Sm at its relaxed geometry.

Unit cell a=6.3882 b=7.3698 c=9.0910 alpha=90.02 beta=103.51 gamma=90.00
Fractional coordinates of all 12 atoms:
Tb: 0.2197 0.9997 0.1649
Tb: 0.2773 0.2468 0.8328
Tb: 0.7227 0.7532 0.1672
Tb: 0.7803 0.0003 0.8351
Pr: 0.0000 0.0000 0.5000
Pr: 0.2223 0.5000 0.1659
Pr: 0.2796 0.7518 0.8346
Pr: 0.4997 0.2476 0.5020
Pr: 0.5003 0.7524 0.4980
Pr: 0.7204 0.2482 0.1654
Pr: 0.7777 0.5000 0.8341
Sm: 0.0000 0.5000 0.5000

Calculated values
- magnetic moment (μB/atom) = 0.000
- SG = P-1
- E (eV/atom) = -4.718
- E_form (eV per formula unit) = 0.08

=====

[3]
## InSi2H2 (PBE-GGA)

Data for crystalline InSi2H2 at its relaxed geometry.

Unit cell a=6.9646 b=6.9646 c=2.8414 alpha=90.00 beta=90.00 gamma=90.00
Fractional coordinates of all 10 atoms:
In: 0.0000 0.0000 0.0000
In: 0.5000 0.5000 0.0000
Si: 0.1207 0.3793 0.5000
Si: 0.3793 0.8793 0.5000
Si: 0.6207 0.1207 0.5000
Si: 0.8793 0.6207 0.5000
H: 0.0953 0.5953 0.0000
H: 0.4047 0.0953 0.0000
H: 0.5953 0.9047 0.0000
H: 0.9047 0.4047 0.0000

Calculated values
- magnetic moment (μB/atom) = 0.000
- SG = P4/mbm
- E (eV/atom) = -3.381

=====

[4]
## AgBi2Pd9 (PBE-GGA)

Data for crystalline AgBi2Pd9 at its relaxed geometry.

Unit cell a=4.0965 b=4.0965 c=12.2361 alpha=90.00 beta=90.00 gamma=90.00
Fractional coordinates of all 12 atoms:
Ag: 0.0000 0.0000 0.0000
Bi: 0.0000 0.0000 0.3222
Bi: 0.0000 0.0000 0.6778
Pd: 0.0000 0.5000 0.1612
Pd: 0.0000 0.5000 0.5000
Pd: 0.0000 0.5000 0.8388
Pd: 0.5000 0.0000 0.1612
Pd: 0.5000 0.0000 0.5000
Pd: 0.5000 0.0000 0.8388
Pd: 0.5000 0.5000 0.0000
Pd: 0.5000 0.5000 0.3357
Pd: 0.5000 0.5000 0.6643

Calculated values
- magnetic moment (μB/atom) = 0.000
- SG = P4/mmm
- E (eV/atom) = -4.967
- E_form (eV per formula unit) = -2.26

=====

[5]
## TbPmTmCd (PBE-GGA)

Data for crystalline TbPmTmCd at its relaxed geometry.

Unit cell a=5.4723 b=5.4723 c=5.4723 alpha=60.00 beta=60.00 gamma=60.00
Fractional coordinates of all 4 atoms:
Tb: 0.0000 0.0000 0.0000
Pm: 0.5000 0.5000 0.5000
Tm: 0.7500 0.7500 0.7500
Cd: 0.2500 0.2500 0.2500

Calculated values
- magnetic moment (μB/atom) = 0.000
- SG = F-43m
- E (eV/atom) = -3.734
- E_form (eV per formula unit) = -0.17

=====

[6]
## YbGe2Ru2 (PBE-GGA)

Data for crystalline YbGe2Ru2 at its relaxed geometry.

Unit cell a=5.8424 b=5.8424 c=5.8424 alpha=137.18 beta=137.18 gamma=62.16
Fractional coordinates of all 5 atoms:
Yb: 0.0000 0.0000 0.0000
Ge: 0.3694 0.3694 0.0000
Ge: 0.6306 0.6306 0.0000
Ru: 0.2500 0.7500 0.5000
Ru: 0.7500 0.2500 0.5000

Calculated values
- magnetic moment (μB/atom) = 0.057
- SG = I4/mmm
- E (eV/atom) = -6.421
- E_form (eV per formula unit) = -2.79

=====

[7]
## La14CePb (PBE-GGA)

Data for crystalline La14CePb at its relaxed geometry.

Unit cell a=10.4146 b=7.3406 c=7.3406 alpha=89.98 beta=90.00 gamma=90.00
Fractional coordinates of all 16 atoms:
La: 0.0000 0.0000 0.0000
La: 0.0000 0.4959 0.4959
La: 0.0000 0.5026 0.9967
La: 0.0000 0.9967 0.5026
La: 0.2566 0.2446 0.2446
La: 0.2592 0.2461 0.7522
La: 0.2592 0.7522 0.2461
La: 0.2615 0.7511 0.7511
La: 0.5000 0.0051 0.4966
La: 0.5000 0.4966 0.0051
La: 0.7385 0.7511 0.7511
La: 0.7408 0.2461 0.7522
La: 0.7408 0.7522 0.2461
La: 0.7434 0.2446 0.2446
Ce: 0.5000 0.4991 0.4991
Pb: 0.5000 0.9985 0.9985

Calculated values
- magnetic moment (μB/atom) = 0.095
- SG = Amm2
- E (eV/atom) = -4.974
- E_form (eV per formula unit) = -0.96

=====

[8]
## SbTe2As (PBE-GGA)

Data for crystalline SbTe2As at its relaxed geometry.

Unit cell a=3.3232 b=3.3232 c=10.1203 alpha=90.00 beta=90.00 gamma=111.30
Fractional coordinates of all 4 atoms:
Sb: 0.0000 0.0000 0.0000
Te: 0.5000 0.5000 0.2733
Te: 0.5000 0.5000 0.7267
As: 0.0000 0.0000 0.5000

Calculated values
- magnetic moment (μB/atom) = 0.000
- SG = Cmmm
- E (eV/atom) = -3.417
- energy relative to the elements, uncorrected (eV/atom) = 0.35